[1]
Computed, not measured: an optimized crystal structure of CrAg2As at the PBEsol level of DFT.

## Properties
Space-group type: Cm, No. 8
Formation energy (eV per atom): 0.324

Cell: 2.968 4.668 5.118 Å, 99.62 90.00 108.53°
Site moments in Bohr magnetons follow the coordinates.
Sites, in units of the cell vectors:
Ag (0.006, 0.011, 0.996)  0.03
Ag (0.253, 0.507, 0.772)  0.02
As (0.487, 0.974, 0.443)  -0.07
Cr (0.754, 0.509, 0.290)  3.06


[2]
Computed, not measured: an optimized crystal structure of CrAg2As at the PBEsol level of DFT.

## Properties
Space-group type: R3m, No. 160
Formation energy (eV per atom): 0.256

Cell: 2.870 2.870 8.874 Å, 80.69 80.69 60.00°
Sites, in units of the cell vectors:
Ag (0.994, 0.994, 0.017)
Ag (0.750, 0.750, 0.749)
As (0.512, 0.512, 0.465)
Cr (0.244, 0.244, 0.268)


[3]
Computed, not measured: an optimized crystal structure of CrAg2As at the PBEsol level of DFT.

## Properties
Space-group type: F-43m, No. 216
Formation energy (eV per atom): 0.299

Cell: 4.538 4.538 4.538 Å, 60.00 60.00 60.00°
Site moments in Bohr magnetons follow the coordinates.
Sites, in units of the cell vectors:
Ag (0.000, 0.000, 0.000)  0.05
Ag (0.250, 0.250, 0.250)  0.03
As (0.500, 0.500, 0.500)  -0.06
Cr (0.750, 0.750, 0.750)  3.54


[4]
Computed, not measured: an optimized crystal structure of CrAgAs2 at the PBEsol level of DFT.

## Properties
Space-group type: R-3m, No. 166
Energy above the lowest structure with this stoichiometry (meV per atom): 0
Formation energy (eV per atom): 0.033

Cell: 3.026 3.026 8.209 Å, 79.38 79.38 60.00°
Sites, in units of the cell vectors:
Ag (0.000, 0.000, 0.000)
As (0.236, 0.236, 0.292)
As (0.764, 0.764, 0.708)
Cr (0.500, 0.500, 0.500)


[5]
Computed, not measured: an optimized crystal structure of CrAg2As at the PBEsol level of DFT.

## Properties
Space-group type: P4/mmm, No. 123
Formation energy (eV per atom): 0.233

Cell: 3.774 3.774 4.560 Å, 90.00 90.00 90.00°
Site moments in Bohr magnetons follow the coordinates.
Sites, in units of the cell vectors:
Ag (0.000, 0.500, 0.000)  0.01
Ag (0.500, 0.000, 0.000)  0.01
As (0.500, 0.500, 0.500)  -0.12
Cr (0.000, 0.000, 0.500)  3.25


[6]
Computed, not measured: an optimized crystal structure of CrAgAsH2 at the PBEsol level of DFT.

## Properties
Space-group type: P4/mmm, No. 123

Cell: 3.687 3.687 5.041 Å, 90.00 90.00 90.00°
Site moments in Bohr magnetons follow the coordinates.
Sites, in units of the cell vectors:
Cr (0.000, 0.000, 0.500)  3.42
As (0.000, 0.000, 0.000)  -0.11
Ag (0.500, 0.500, 0.500)  0.11
H (0.000, 0.500, 0.000)  0.02
H (0.500, 0.000, 0.000)  0.02


[7]
Computed, not measured: an optimized crystal structure of CsAgAs3 at the PBEsol level of DFT.

## Properties
Space-group type: Pm-3m, No. 221
Formation energy (eV per atom): 0.476

Cell: 5.142 5.142 5.142 Å, 90.00 90.00 90.00°
Sites, in units of the cell vectors:
Cs (0.500, 0.500, 0.500)
As (0.000, 0.500, 0.000)
As (0.000, 0.000, 0.500)
As (0.500, 0.000, 0.000)
Ag (0.000, 0.000, 0.000)


[8]
Computed, not measured: an optimized crystal structure of CsAg2AsS3 at the PBEsol level of DFT.

## Properties
Space-group type: P2_1/c, No. 14
ΔE_f (raw) (eV per atom): -0.4439

Cell: 8.245 9.151 9.899 Å, 106.53 90.00 90.00°
Sites, in units of the cell vectors:
Cs (0.069, 0.250, 0.918)
Cs (0.569, 0.250, 0.082)
Cs (0.931, 0.750, 0.082)
Cs (0.431, 0.750, 0.918)
Ag (0.240, 0.933, 0.554)
Ag (0.740, 0.567, 0.446)
Ag (0.760, 0.067, 0.446)
Ag (0.260, 0.433, 0.554)
Ag (0.024, 0.215, 0.327)
Ag (0.524, 0.285, 0.673)
Ag (0.976, 0.785, 0.673)
Ag (0.476, 0.715, 0.327)
As (0.862, 0.446, 0.652)
As (0.362, 0.054, 0.348)
As (0.138, 0.554, 0.348)
As (0.638, 0.946, 0.652)
S (0.986, 0.209, 0.570)
S (0.486, 0.291, 0.430)
S (0.014, 0.791, 0.430)
S (0.514, 0.709, 0.570)
S (0.218, 0.061, 0.159)
S (0.718, 0.439, 0.841)
S (0.782, 0.939, 0.841)
S (0.282, 0.561, 0.159)
S (0.096, 0.569, 0.751)
S (0.596, 0.931, 0.249)
S (0.904, 0.431, 0.249)
S (0.404, 0.069, 0.751)


Listing final energy for the structures above in their given order: -5.1682 -5.2370 -5.1939 -5.9087 -5.2595 -4.3525 -3.4382 -4.1330 eV per atom.
Listing theoretical density for the structures above in their given order: 8.6 9.1 8.6 8.1 8.8 5.7 5.7 4.8 g/cm3.